Record 1
VASP calculation (PBE) on crystalline KVSe at its relaxed geometry.

The structure in CIF format:
```
data_KVSe
_chemical_formula_sum 'K2 V2 Se2'
_symmetry_space_group_name_H-M 'P 4/n m m'
_symmetry_Int_Tables_number 129
_cell_length_a 3.758
_cell_length_b 3.758
_cell_length_c 11.430
_cell_angle_alpha 90.00
_cell_angle_beta 90.00
_cell_angle_gamma 90.00
loop_
_symmetry_equiv_pos_as_xyz
'x,y,z'
'-x,-y,-z'
'-y+1/2,x,z'
'y+1/2,-x,-z'
'-x+1/2,-y+1/2,z'
'x+1/2,y+1/2,-z'
'y,-x+1/2,z'
'-y,x+1/2,-z'
'x+1/2,-y,-z'
'-x+1/2,y,z'
'-y,-x,-z'
'y,x,z'
'-x,y+1/2,-z'
'x,-y+1/2,z'
'y+1/2,x+1/2,-z'
'-y+1/2,-x+1/2,z'
loop_
_atom_site_label
_atom_site_type_symbol
_atom_site_fract_x
_atom_site_fract_y
_atom_site_fract_z
_atom_site_occupancy
K1 K 0.250 0.250 0.183 1
V1 V 0.250 0.750 0.500 1
Se1 Se 0.250 0.250 0.648 1
```

Computed properties:
- crystal system = tetragonal

Record 2
VASP calculation (PBE) on crystalline KV3Se6 at its relaxed geometry.

The structure in CIF format:
```
data_KV3Se6
_chemical_formula_sum 'K2 V6 Se12'
_symmetry_space_group_name_H-M 'P 1 21/m 1'
_symmetry_Int_Tables_number 11
_cell_length_a 12.503
_cell_length_b 3.392
_cell_length_c 13.357
_cell_angle_alpha 90.00
_cell_angle_beta 93.35
_cell_angle_gamma 90.00
loop_
_symmetry_equiv_pos_as_xyz
'x,y,z'
'-x,-y,-z'
'-x,y+1/2,-z'
'x,-y+1/2,z'
loop_
_atom_site_label
_atom_site_type_symbol
_atom_site_fract_x
_atom_site_fract_y
_atom_site_fract_z
_atom_site_occupancy
K1 K 0.183 0.250 0.408 1
V1 V 0.040 0.750 0.914 1
V2 V 0.127 0.250 0.724 1
V3 V 0.449 0.750 0.568 1
Se1 Se 0.046 0.750 0.209 1
Se2 Se 0.086 0.750 0.594 1
Se3 Se 0.138 0.250 0.020 1
Se4 Se 0.223 0.750 0.830 1
Se5 Se 0.329 0.250 0.634 1
Se6 Se 0.411 0.750 0.385 1
```

Computed properties:
- crystal system = monoclinic

Record 3
VASP calculation (PBE) on crystalline KV2Se at its relaxed geometry.

The structure in CIF format:
```
data_KV2Se
_chemical_formula_sum 'K4 V8 Se4'
_symmetry_space_group_name_H-M 'I -4 2 d'
_symmetry_Int_Tables_number 122
_symmetry_space_group_name_Hall 'I -4 2bw'
_cell_length_a 4.506
_cell_length_b 4.506
_cell_length_c 18.584
_cell_angle_alpha 90.00
_cell_angle_beta 90.00
_cell_angle_gamma 90.00
loop_
_atom_site_label
_atom_site_type_symbol
_atom_site_fract_x
_atom_site_fract_y
_atom_site_fract_z
_atom_site_occupancy
K1 K 0.000 0.000 0.000 1
V1 V 0.009 0.250 0.625 1
Se1 Se 0.000 0.000 0.500 1
```

Computed properties:
- crystal system = tetragonal

Record 4
VASP calculation (PBE) on crystalline K2VSe5 at its relaxed geometry.

The structure in CIF format:
```
data_K2VSe5
_chemical_formula_sum 'K2 V1 Se5'
_symmetry_space_group_name_H-M 'P 1'
_symmetry_Int_Tables_number 1
_cell_length_a 5.233
_cell_length_b 6.851
_cell_length_c 8.343
_cell_angle_alpha 114.21
_cell_angle_beta 108.11
_cell_angle_gamma 90.17
loop_
_symmetry_equiv_pos_as_xyz
'x,y,z'
loop_
_atom_site_label
_atom_site_type_symbol
_atom_site_fract_x
_atom_site_fract_y
_atom_site_fract_z
_atom_site_occupancy
K1 K 0.000 0.000 0.000 1
K2 K 0.303 0.303 0.607 1
V1 V 0.711 0.748 0.303 1
Se1 Se 0.122 0.806 0.570 1
Se2 Se 0.330 0.466 0.057 1
Se3 Se 0.574 0.713 0.549 1
Se4 Se 0.649 0.076 0.303 1
Se5 Se 0.857 0.539 0.037 1
```

Computed properties:
- crystal system = triclinic

Record 5
VASP calculation (PBE) on crystalline K3VSe3 at its relaxed geometry.

The structure in CIF format:
```
data_K3VSe3
_chemical_formula_sum 'K12 V4 Se12'
_symmetry_space_group_name_H-M 'P 1 21/c 1'
_symmetry_Int_Tables_number 14
_cell_length_a 8.886
_cell_length_b 8.168
_cell_length_c 13.065
_cell_angle_alpha 90.00
_cell_angle_beta 101.01
_cell_angle_gamma 90.00
loop_
_symmetry_equiv_pos_as_xyz
'x,y,z'
'-x,-y,-z'
'-x,y+1/2,-z+1/2'
'x,-y+1/2,z+1/2'
loop_
_atom_site_label
_atom_site_type_symbol
_atom_site_fract_x
_atom_site_fract_y
_atom_site_fract_z
_atom_site_occupancy
K1 K 0.098 0.147 0.130 1
K2 K 0.297 0.744 0.788 1
K3 K 0.400 0.248 0.917 1
V1 V 0.152 0.566 0.040 1
Se1 Se 0.064 0.057 0.369 1
Se2 Se 0.238 0.658 0.521 1
Se3 Se 0.363 0.073 0.647 1
```

Computed properties:
- crystal system = monoclinic

Record 6
VASP calculation (PBE) on crystalline KV5Se8 at its relaxed geometry.

The structure in CIF format:
```
data_KV5Se8
_chemical_formula_sum 'K2 V10 Se16'
_symmetry_space_group_name_H-M 'C 1 2/m 1'
_symmetry_Int_Tables_number 12
_cell_length_a 18.601
_cell_length_b 3.680
_cell_length_c 8.956
_cell_angle_alpha 90.00
_cell_angle_beta 104.20
_cell_angle_gamma 90.00
loop_
_symmetry_equiv_pos_as_xyz
'x,y,z'
'-x,-y,-z'
'-x,y,-z'
'x,-y,z'
'x+1/2,y+1/2,z'
'-x+1/2,-y+1/2,-z'
'-x+1/2,y+1/2,-z'
'x+1/2,-y+1/2,z'
loop_
_atom_site_label
_atom_site_type_symbol
_atom_site_fract_x
_atom_site_fract_y
_atom_site_fract_z
_atom_site_occupancy
K1 K 0.000 0.000 0.000 1
V1 V 0.000 0.500 0.500 1
V2 V 0.150 0.000 0.491 1
V3 V 0.212 0.000 0.848 1
Se1 Se 0.072 0.000 0.674 1
Se2 Se 0.087 0.500 0.320 1
Se3 Se 0.162 0.500 0.989 1
Se4 Se 0.240 0.500 0.656 1
```

Computed properties:
- crystal system = monoclinic

Record 7
VASP calculation (PBE) on crystalline K2VSe4 at its relaxed geometry.

The structure in CIF format:
```
data_K2VSe4
_chemical_formula_sum 'K4 V2 Se8'
_symmetry_space_group_name_H-M 'P 1 21/m 1'
_symmetry_Int_Tables_number 11
_cell_length_a 7.029
_cell_length_b 5.910
_cell_length_c 11.979
_cell_angle_alpha 90.00
_cell_angle_beta 98.12
_cell_angle_gamma 90.00
loop_
_symmetry_equiv_pos_as_xyz
'x,y,z'
'-x,-y,-z'
'-x,y+1/2,-z'
'x,-y+1/2,z'
loop_
_atom_site_label
_atom_site_type_symbol
_atom_site_fract_x
_atom_site_fract_y
_atom_site_fract_z
_atom_site_occupancy
K1 K 0.233 0.250 0.415 1
K2 K 0.233 0.250 0.957 1
V1 V 0.326 0.750 0.741 1
Se1 Se 0.072 0.750 0.840 1
Se2 Se 0.242 0.750 0.552 1
Se3 Se 0.440 0.520 0.200 1
```

Computed properties:
- crystal system = monoclinic
- energy relative to the lowest polymorph listed for this composition (eV/f.u.) = 0.00

Record 8
VASP calculation (PBE) on crystalline KV3Se at its relaxed geometry.

The structure in CIF format:
```
data_KV3Se
_chemical_formula_sum 'K1 V3 Se1'
_symmetry_space_group_name_H-M 'P m -3 m'
_symmetry_Int_Tables_number 221
_symmetry_space_group_name_Hall '-P 4 2 3'
_cell_length_a 4.387
_cell_length_b 4.387
_cell_length_c 4.387
_cell_angle_alpha 90.00
_cell_angle_beta 90.00
_cell_angle_gamma 90.00
loop_
_atom_site_label
_atom_site_type_symbol
_atom_site_fract_x
_atom_site_fract_y
_atom_site_fract_z
_atom_site_occupancy
K1 K 0.000 0.000 0.000 1
V1 V 0.000 0.000 0.500 1
Se1 Se 0.500 0.500 0.500 1
```

Computed properties:
- crystal system = cubic
- energy relative to the lowest polymorph listed for this composition (eV/f.u.) = 7.46

Record 9
VASP calculation (PBE) on crystalline K3VSe4 at its relaxed geometry.

The structure in CIF format:
```
data_K3VSe4
_chemical_formula_sum 'K12 V4 Se16'
_symmetry_space_group_name_H-M 'P n m a'
_symmetry_Int_Tables_number 62
_cell_length_a 9.603
_cell_length_b 11.086
_cell_length_c 9.669
_cell_angle_alpha 90.00
_cell_angle_beta 90.00
_cell_angle_gamma 90.00
loop_
_symmetry_equiv_pos_as_xyz
'x,y,z'
'-x,-y,-z'
'-x+1/2,-y,z+1/2'
'x+1/2,y,-z+1/2'
'x+1/2,-y+1/2,-z+1/2'
'-x+1/2,y+1/2,z+1/2'
'-x,y+1/2,-z'
'x,-y+1/2,z'
loop_
_atom_site_label
_atom_site_type_symbol
_atom_site_fract_x
_atom_site_fract_y
_atom_site_fract_z
_atom_site_occupancy
K1 K 0.053 0.047 0.205 1
K2 K 0.135 0.750 0.414 1
V1 V 0.216 0.750 0.985 1
Se1 Se 0.003 0.250 0.919 1
Se2 Se 0.167 0.079 0.551 1
Se3 Se 0.197 0.750 0.748 1
```

Computed properties:
- crystal system = orthorhombic

Record 10
VASP calculation (PBE) on crystalline K4VSe5 at its relaxed geometry.

The structure in CIF format:
```
data_K4VSe5
_chemical_formula_sum 'K8 V2 Se10'
_symmetry_space_group_name_H-M 'I 4'
_symmetry_Int_Tables_number 79
_cell_length_a 10.045
_cell_length_b 10.045
_cell_length_c 6.653
_cell_angle_alpha 90.00
_cell_angle_beta 90.00
_cell_angle_gamma 90.00
loop_
_symmetry_equiv_pos_as_xyz
'x,y,z'
'-y,x,z'
'-x,-y,z'
'y,-x,z'
'x+1/2,y+1/2,z+1/2'
'-y+1/2,x+1/2,z+1/2'
'-x+1/2,-y+1/2,z+1/2'
'y+1/2,-x+1/2,z+1/2'
loop_
_atom_site_label
_atom_site_type_symbol
_atom_site_fract_x
_atom_site_fract_y
_atom_site_fract_z
_atom_site_occupancy
K1 K 0.094 0.297 0.000 1
V1 V 0.000 0.000 0.407 1
Se1 Se 0.000 0.000 0.064 1
Se2 Se 0.071 0.225 0.504 1
```

Computed properties:
- crystal system = tetragonal

Number 1: formation energy from raw total energies -0.61 eV per atom. Number 2: formation energy from raw total energies -0.75 eV per atom. Number 3: formation energy from raw total energies 0.52 eV per atom. Number 4: formation energy from raw total energies -0.76 eV per atom. Number 5: formation energy from raw total energies -1.01 eV per atom. Number 6: formation energy from raw total energies -0.78 eV per atom. Number 7: formation energy from raw total energies -0.87 eV per atom. Number 8: formation energy from raw total energies 2.47 eV per atom. Number 9: formation energy from raw total energies -1.07 eV per atom. Number 10: formation energy from raw total energies -0.89 eV per atom.